A plane-wave DFT calculation with GGA+U was carried out for crystalline NiAs3F at its relaxed geometry.

```
5
Lattice="4.4864 0.0000 0.0000 0.0000 4.4864 0.0000 0.0000 0.0000 4.4864" Properties=species:S:1:pos:R:3 pbc="T T T"
Ni 0.0000 0.0000 0.0000
As 0.0000 2.2432 2.2432
As 2.2432 0.0000 2.2432
As 2.2432 2.2432 0.0000
F 2.2432 2.2432 2.2432
```

Calculated values
Energy above the most stable polymorph in this dataset in meV per atom: 318.2
Final energy in eV per atom: -2.917
Density of states at the Fermi level in states/eV/atom: 0.5877
Calculated volume in Å³ per atom: 18.06